# YScTlFe2 (PBE, relaxed)
data_YScTlFe2
_symmetry_space_group_name_H-M 'P 4/m m m'
_symmetry_Int_Tables_number 123
_symmetry_space_group_name_Hall '-P 4 2'
_cell_length_a 4.600
_cell_length_b 4.600
_cell_length_c 5.330
_cell_angle_alpha 90.00
_cell_angle_beta 90.00
_cell_angle_gamma 90.00
loop_
_atom_site_label
_atom_site_fract_x
_atom_site_fract_y
_atom_site_fract_z
Y1 0.000 0.000 0.000
Sc1 0.000 0.000 0.500
Tl1 0.500 0.500 0.500
Fe1 0.000 0.500 0.000
# Size of the total moment in μB per cell: 0.03
# Total energy in eV/atom: -4.865